First-principles (PBE with a Hubbard U) data for BeMoPO2 after structural relaxation, as listed in Alexandria.

Cell: 3.772 3.772 5.300 Å, 90.00 90.00 90.00°
Site moments in Bohr magnetons follow the coordinates.
Fractional coordinates of all 5 atoms:
Be  0.500  0.500  0.500  0.02
P  0.000  0.000  0.500  -0.05
Mo  0.000  0.000  0.000  1.09
O  0.500  0.000  0.000  -0.10
O  0.000  0.500  0.000  -0.10

Output
- Crystal system: tetragonal
- Energy above the most stable polymorph in this dataset: 0.0 meV per atom
- SG: P4/mmm (123)